First-principles (PBE) data for a relaxed structure of PmMg2Ge2Ir, as listed in Alexandria.

Lattice parameters (Å, degrees): 4.1524 4.1524 8.8869 103.51 103.51 90.00
Closest atoms and distances in Å follow each position.
Positions (direct):
Pm (0.5000, 0.5000, 0.0000)  4 Ir 2.94
Ge (0.1426, 0.1426, 0.2853)  1 Ir 2.39
Ge (0.8574, 0.8574, 0.7147)  1 Ir 2.39
Mg (0.7500, 0.2500, 0.5000)  4 Ge 2.75, 4 Mg 2.94
Mg (0.2500, 0.7500, 0.5000)  4 Ge 2.75, 4 Mg 2.94
Ir (0.0000, 0.0000, 0.0000)  2 Ge 2.39

Values from the calculation:
space group	I4/mmm, No. 139
ΔE_f	-0.209	eV per atom
density	6098	kg/m3
N(E_F)	2.95	states/eV/f.u.
energy	-4.548	eV/atom